1.
CrTe2Cl | GGA-PBE | optimized geometry

```
data_CrTe2Cl
_cell_length_a 7.418
_cell_length_b 7.418
_cell_length_c 7.418
_cell_angle_alpha 152.38
_cell_angle_beta 136.23
_cell_angle_gamma 52.54
_symmetry_space_group_name_H-M 'P 1'
_symmetry_Int_Tables_number 1
_symmetry_space_group_name_Hall 'P 1'
loop_
_atom_site_label
_atom_site_fract_x
_atom_site_fract_y
_atom_site_fract_z
Cr1 0.723 0.223 0.500
Te1 0.879 0.879 0.000
Cl1 0.602 0.602 0.000
Te2 0.296 0.796 0.500
```

Calculated values
For the density of states at the Fermi level, the calculation gives 0.45 states/eV/atom. The raw total energy comes out at -18.74 eV/cell. Its polymorph energy (0 for the lowest one) is 1.78 kcal/mol of atoms.

---

2.
CrTeCl3 | GGA-PBE | optimized geometry

```
data_CrTeCl3
_cell_length_a 4.716
_cell_length_b 4.716
_cell_length_c 4.716
_cell_angle_alpha 90.00
_cell_angle_beta 90.00
_cell_angle_gamma 90.00
_symmetry_space_group_name_H-M 'P 1'
_symmetry_Int_Tables_number 1
_symmetry_space_group_name_Hall 'P 1'
loop_
_atom_site_label
_atom_site_fract_x
_atom_site_fract_y
_atom_site_fract_z
Cl1 0.000 0.500 0.000
Cl2 0.000 0.000 0.500
Cl3 0.500 0.000 0.000
Cr1 0.000 0.000 0.000
Te1 0.500 0.500 0.500
```

Calculated values
For the density of states at the Fermi level, the calculation gives 1.39 states/eV/atom. The raw total energy comes out at -17.98 eV/cell. Its polymorph energy (0 for the lowest one) is 0.00 kcal/mol of atoms.

---

3.
CrTe2Cl | GGA-PBE | optimized geometry

```
data_CrTe2Cl
_cell_length_a 6.466
_cell_length_b 6.466
_cell_length_c 6.466
_cell_angle_alpha 148.71
_cell_angle_beta 134.68
_cell_angle_gamma 56.10
_symmetry_space_group_name_H-M 'P 1'
_symmetry_Int_Tables_number 1
_symmetry_space_group_name_Hall 'P 1'
loop_
_atom_site_label
_atom_site_fract_x
_atom_site_fract_y
_atom_site_fract_z
Te1 0.552 0.552 0.000
Cr1 0.750 0.250 0.500
Te2 0.948 0.948 0.000
Cl1 0.250 0.750 0.500
```

Calculated values
For the density of states at the Fermi level, the calculation gives 0.84 states/eV/atom. The raw total energy comes out at -17.51 eV/cell. Its polymorph energy (0 for the lowest one) is 8.85 kcal/mol of atoms.

---

4.
CrTeCl2 | GGA-PBE | optimized geometry

```
data_CrTeCl2
_cell_length_a 7.597
_cell_length_b 7.597
_cell_length_c 7.597
_cell_angle_alpha 152.89
_cell_angle_beta 138.80
_cell_angle_gamma 50.02
_symmetry_space_group_name_H-M 'P 1'
_symmetry_Int_Tables_number 1
_symmetry_space_group_name_Hall 'P 1'
loop_
_atom_site_label
_atom_site_fract_x
_atom_site_fract_y
_atom_site_fract_z
Cl1 0.349 0.849 0.500
Cr1 0.463 0.463 0.000
Te1 0.611 0.111 0.500
Cl2 0.077 0.077 0.000
```

Calculated values
For the density of states at the Fermi level, the calculation gives 0.80 states/eV/atom. The raw total energy comes out at -18.12 eV/cell. Its polymorph energy (0 for the lowest one) is 2.78 kcal/mol of atoms.

---

no.,volume (A^3/atom)
1,32.56
2,20.98
3,24.79
4,32.77